1.
Here is an optimized crystal structure of Sr2NiAu from Alexandria via LeMat-Bulk. Energies are from PBE.

calculated formation energy = -0.068 eV/atom
mass density = 6.1 g cm⁻³
space group = P4mm
DOS at the Fermi energy = 4.84 states/eV/cell

abc: 3.6971 3.6971 8.5593
angles: 90.00 90.00 90.00
Sites, in units of the cell vectors:
Sr  0.0000  0.0000  0.0000
Sr  0.5000  0.5000  0.4311
Ni  0.5000  0.5000  0.7703
Au  0.0000  0.0000  0.6527

=====

2.
Here is an optimized crystal structure of Sr3NiAu from Alexandria via LeMat-Bulk. Energies are from PBE.

calculated formation energy = -0.339 eV/atom
mass density = 5.2 g cm⁻³
relative energy among the computed polymorphs = 0 meV per atom
space group = Cm
DOS at the Fermi energy = 8.68 states/eV/cell

abc: 8.8974 8.8974 8.9685
angles: 90.11 90.11 27.58
Sites, in units of the cell vectors:
Sr  0.0000  0.0000  0.0000
Sr  0.1508  0.1508  0.3661
Sr  0.3657  0.3657  0.2469
Sr  0.5164  0.5164  0.6137
Sr  0.7080  0.7080  0.9849
Sr  0.8085  0.8085  0.6278
Ni  0.5314  0.5314  0.2688
Ni  0.9851  0.9851  0.3460
Au  0.1565  0.1565  0.7298
Au  0.3601  0.3601  0.8830

=====

3.
Here is an optimized crystal structure of SrNiAu from Alexandria via LeMat-Bulk. Energies are from PBE.

calculated formation energy = 0.429 eV/atom
mass density = 6.6 g cm⁻³
space group = F-43m
DOS at the Fermi energy = 5.35 states/eV/cell

abc: 4.9550 4.9550 4.9550
angles: 60.00 60.00 60.00
Sites, in units of the cell vectors:
Sr  0.0000  0.0000  0.0000
Ni  0.7500  0.7500  0.7500
Au  0.2500  0.2500  0.2500

=====

4.
Here is an optimized crystal structure of Sr2NiAu from Alexandria via LeMat-Bulk. Energies are from PBE.

calculated formation energy = -0.162 eV/atom
mass density = 5.8 g cm⁻³
space group = P4mm
DOS at the Fermi energy = 2.47 states/eV/cell

abc: 4.4278 4.4278 6.2412
angles: 90.00 90.00 90.00
Sites, in units of the cell vectors:
Sr  0.0000  0.0000  0.0000
Sr  0.5000  0.5000  0.4904
Ni  0.5000  0.5000  0.9863
Au  0.0000  0.0000  0.5020

=====

5.
Here is an optimized crystal structure of SrNi2Au2 from Alexandria via LeMat-Bulk. Energies are from PBE.

calculated formation energy = -0.104 eV/atom
mass density = 11.1 g cm⁻³
relative energy among the computed polymorphs = 42 meV per atom
space group = P4/mbm
DOS at the Fermi energy = 6.63 states/eV/cell

abc: 7.5360 7.5360 3.1446
angles: 90.00 90.00 90.00
Sites, in units of the cell vectors:
Sr  0.0000  0.0000  0.0000
Sr  0.5000  0.5000  0.0000
Ni  0.1171  0.3829  0.0000
Ni  0.3829  0.8829  0.0000
Ni  0.6171  0.1171  0.0000
Ni  0.8829  0.6171  0.0000
Au  0.1730  0.6730  0.5000
Au  0.3270  0.1730  0.5000
Au  0.6730  0.8270  0.5000
Au  0.8270  0.3270  0.5000

=====

6.
Here is an optimized crystal structure of SrNiAu2 from Alexandria via LeMat-Bulk. Energies are from PBE.

calculated formation energy = -0.162 eV/atom
mass density = 10.9 g cm⁻³
space group = Pmmm
DOS at the Fermi energy = 3.31 states/eV/cell

abc: 3.4124 3.4833 6.9296
angles: 90.00 90.00 90.00
Sites, in units of the cell vectors:
Sr  0.0000  0.0000  0.0000
Ni  0.0000  0.0000  0.5000
Au  0.5000  0.5000  0.3025
Au  0.5000  0.5000  0.6975

=====

7.
Here is an optimized crystal structure of Sr3NiAu from Alexandria via LeMat-Bulk. Energies are from PBE.

calculated formation energy = -0.081 eV/atom
mass density = 4.8 g cm⁻³
relative energy among the computed polymorphs = 258 meV per atom
space group = Pm-3m
DOS at the Fermi energy = 2.00 states/eV/cell

abc: 5.6203 5.6203 5.6203
angles: 90.00 90.00 90.00
Sites, in units of the cell vectors:
Sr  0.0000  0.0000  0.5000
Sr  0.0000  0.5000  0.0000
Sr  0.5000  0.0000  0.0000
Ni  0.0000  0.0000  0.0000
Au  0.5000  0.5000  0.5000

=====

8.
Here is an optimized crystal structure of Sr4NiAu2 from Alexandria via LeMat-Bulk. Energies are from PBE.

calculated formation energy = -0.307 eV/atom
mass density = 5.5 g cm⁻³
space group = I4/mmm
DOS at the Fermi energy = 1.96 states/eV/cell

abc: 8.9154 8.9154 8.9154
angles: 143.97 143.97 51.88
Sites, in units of the cell vectors:
Sr  0.0000  0.5000  0.5000
Sr  0.1863  0.1863  0.0000
Sr  0.5000  0.0000  0.5000
Sr  0.8137  0.8137  0.0000
Ni  0.0000  0.0000  0.0000
Au  0.3816  0.3816  0.0000
Au  0.6184  0.6184  0.0000

=====

9.
Here is an optimized crystal structure of SrNi3Au from Alexandria via LeMat-Bulk. Energies are from PBE.

calculated formation energy = 0.556 eV/atom
mass density = 7.0 g cm⁻³
relative energy among the computed polymorphs = 0 meV per atom
space group = Pm-3m
DOS at the Fermi energy = 6.57 states/eV/cell

abc: 4.7787 4.7787 4.7787
angles: 90.00 90.00 90.00
Sites, in units of the cell vectors:
Sr  0.0000  0.0000  0.0000
Ni  0.0000  0.5000  0.5000
Ni  0.5000  0.0000  0.5000
Ni  0.5000  0.5000  0.0000
Au  0.5000  0.5000  0.5000

=====

10.
Here is an optimized crystal structure of SrNiAu2 from Alexandria via LeMat-Bulk. Energies are from PBE.

calculated formation energy = -0.085 eV/atom
mass density = 10.5 g cm⁻³
space group = Fm-3m
DOS at the Fermi energy = 2.88 states/eV/cell

abc: 4.9380 4.9380 4.9380
angles: 60.00 60.00 60.00
Sites, in units of the cell vectors:
Sr  0.0000  0.0000  0.0000
Ni  0.5000  0.5000  0.5000
Au  0.2500  0.2500  0.2500
Au  0.7500  0.7500  0.7500

=====

11.
Here is an optimized crystal structure of SrNiAu from Alexandria via LeMat-Bulk. Energies are from PBE.

calculated formation energy = -0.117 eV/atom
mass density = 8.5 g cm⁻³
space group = I4mm
DOS at the Fermi energy = 3.44 states/eV/cell

abc: 5.7564 5.7564 5.7564
angles: 143.59 143.59 52.44
Sites, in units of the cell vectors:
Sr  0.0000  0.0000  0.0000
Ni  0.7158  0.7158  0.0000
Au  0.2929  0.2929  0.0000

=====

12.
Here is an optimized crystal structure of SrNiAu2 from Alexandria via LeMat-Bulk. Energies are from PBE.

calculated formation energy = -0.112 eV/atom
mass density = 11.1 g cm⁻³
space group = I4/mmm
DOS at the Fermi energy = 1.31 states/eV/cell

abc: 5.4317 5.4317 5.4317
angles: 134.40 134.40 66.46
Sites, in units of the cell vectors:
Sr  0.0000  0.0000  0.0000
Ni  0.5000  0.5000  0.0000
Au  0.2500  0.7500  0.5000
Au  0.7500  0.2500  0.5000

=====

13.
Here is an optimized crystal structure of SrNi2Au2 from Alexandria via LeMat-Bulk. Energies are from PBE.

calculated formation energy = -0.145 eV/atom
mass density = 10.1 g cm⁻³
relative energy among the computed polymorphs = 0 meV per atom
space group = I4/mmm
DOS at the Fermi energy = 4.20 states/eV/cell

abc: 5.9509 5.9509 5.9509
angles: 136.62 136.62 63.02
Sites, in units of the cell vectors:
Sr  0.0000  0.0000  0.0000
Ni  0.3885  0.3885  0.0000
Ni  0.6115  0.6115  0.0000
Au  0.2500  0.7500  0.5000
Au  0.7500  0.2500  0.5000

=====

14.
Here is an optimized crystal structure of Sr2ZnNiAu from Alexandria via LeMat-Bulk. Energies are from PBE.

calculated formation energy = 0.282 eV/atom
mass density = 5.1 g cm⁻³
space group = P4/mmm
DOS at the Fermi energy = 5.48 states/eV/cell

abc: 5.8539 5.8539 4.7044
angles: 90.00 90.00 90.00
Sites, in units of the cell vectors:
Sr  0.0000  0.5000  0.0000
Sr  0.5000  0.0000  0.0000
Zn  0.0000  0.0000  0.0000
Ni  0.5000  0.5000  0.5000
Au  0.0000  0.0000  0.5000